Density functional theory data (PBE) for a relaxed BaSrIn2 crystal.

Lattice parameters (Å, degrees): 5.2577 7.8887 8.0011 90.00 90.00 109.47
Positions (direct):
Ba  0.9401  0.8801  0.2500
Ba  0.0599  0.1199  0.7500
Sr  0.2241  0.4481  0.2500
Sr  0.7759  0.5519  0.7500
In  0.4020  0.8040  0.9346
In  0.5980  0.1960  0.0654
In  0.5980  0.1960  0.4346
In  0.4020  0.8040  0.5654

Calculated values
Formation enthalpy at 0 K (eV per atom): -0.3662

=====

Density functional theory data (PBE) for a relaxed Pa3P2S3 crystal.

Lattice parameters (Å, degrees): 6.5571 7.7327 7.7327 120.00 90.00 90.00
Last column: magnetic moment on the atom in μB.
Positions (direct):
Pa  0.7500  0.6016  0.0000  0.09
Pa  0.7500  0.3984  0.3984  0.09
Pa  0.7500  0.0000  0.6016  0.09
Pa  0.2500  0.3984  0.0000  0.09
Pa  0.2500  0.6016  0.6016  0.09
Pa  0.2500  0.0000  0.3984  0.09
P  0.0000  0.3333  0.6667  -0.01
P  0.5000  0.6667  0.3333  -0.01
P  0.0000  0.6667  0.3333  -0.01
P  0.5000  0.3333  0.6667  -0.01
S  0.7500  0.2458  0.0000  0.00
S  0.7500  0.7542  0.7542  0.00
S  0.7500  0.0000  0.2458  0.00
S  0.2500  0.7542  0.0000  0.00
S  0.2500  0.2458  0.2458  0.00
S  0.2500  0.0000  0.7542  0.00

Calculated values
E above lowest polymorph (meV/atom): 0
Energy relative to the elements, uncorrected (eV/atom): -1.38

=====

Density functional theory data (PBE) for a relaxed LaHoAs crystal.

Lattice parameters (Å, degrees): 4.4224 4.7690 4.7690 120.00 90.00 90.00
Positions (direct):
As  0.0784  0.0000  0.0000
Ho  0.2106  0.3333  0.6667
La  0.7110  0.6667  0.3333

Calculated values
E above lowest polymorph (meV/atom): 0
Formation enthalpy at 0 K (eV per atom): -0.6436

=====

Density functional theory data (PBE) for a relaxed LiLaAl2Sn crystal.

Lattice parameters (Å, degrees): 5.6264 5.4623 5.6264 90.00 90.00 90.00
Last column: magnetic moment on the atom in μB.
Positions (direct):
Al  0.0000  0.0000  0.5000  0.00
Al  0.5000  0.0000  0.0000  0.01
Li  0.0000  0.5000  0.0000  0.07
Sn  0.5000  0.5000  0.5000  -0.01
La  0.0000  0.0000  0.0000  0.18

Calculated values
Formation enthalpy at 0 K (eV per atom): 1.0461

=====

Density functional theory data (PBE) for a relaxed Cs4SmU3Te8 crystal.

Lattice parameters (Å, degrees): 9.1620 10.4252 9.1618 116.07 120.00 90.00
Last column: magnetic moment on the atom in μB.
Positions (direct):
Cs  0.5000  0.0000  0.0000  0.00
Cs  0.5000  0.0000  0.5000  0.00
Cs  0.0000  0.0000  0.0000  0.00
Cs  0.0000  0.0000  0.5000  0.00
Sm  0.0000  0.5000  0.0000  0.10
U  0.5000  0.5000  0.0000  2.77
U  0.5000  0.5000  0.5000  2.77
U  0.0000  0.5000  0.5000  2.77
Te  0.2319  0.6931  0.9612  -0.04
Te  0.2319  0.6931  0.4639  -0.04
Te  0.2694  0.3082  0.5388  -0.06
Te  0.7293  0.6931  0.9612  -0.04
Te  0.2707  0.3069  0.0388  -0.04
Te  0.7306  0.6918  0.4612  -0.06
Te  0.7681  0.3069  0.5361  -0.04
Te  0.7681  0.3069  0.0388  -0.04

Calculated values
Energy relative to the elements, uncorrected (eV/atom): -0.97

=====

Density functional theory data (PBE) for a relaxed AlMo2S crystal.

Lattice parameters (Å, degrees): 4.3539 4.3539 4.3539 60.00 60.00 60.00
Positions (direct):
Mo  0.2500  0.2500  0.2500
Mo  0.7500  0.7500  0.7500
S  0.5000  0.5000  0.5000
Al  0.0000  0.0000  0.0000

Calculated values
E above lowest polymorph (meV/atom): 0
Energy relative to the elements, uncorrected (eV/atom): 0.23

=====

Density functional theory data (PBE) for a relaxed Ag3SnBi3S8 crystal.

Lattice parameters (Å, degrees): 7.9972 7.9962 7.8994 120.44 90.00 120.00
Positions (direct):
Ag  0.0000  0.0000  0.0000
Ag  0.0000  0.5000  0.0000
Ag  0.5000  0.5000  0.0000
Sn  0.0000  0.0000  0.5000
Bi  0.5000  0.0000  0.5000
Bi  0.5000  0.5000  0.5000
Bi  0.0000  0.5000  0.5000
S  0.2479  0.4958  0.2441
S  0.7521  0.5042  0.7559
S  0.7673  0.5345  0.2591
S  0.2327  0.4655  0.7409
S  0.7672  0.9915  0.2591
S  0.2328  0.0085  0.7409
S  0.2243  0.9915  0.2591
S  0.7757  0.0085  0.7409

Calculated values
Energy relative to the elements, uncorrected (eV/atom): -0.26

=====

Density functional theory data (PBE) for a relaxed Tb2Pm2Ho7 crystal.

Lattice parameters (Å, degrees): 6.0401 8.0352 8.0352 91.92 73.94 73.94
Positions (direct):
Tb  0.8078  0.4066  0.4066
Tb  0.1922  0.5934  0.5934
Pm  0.5000  0.2134  0.7866
Pm  0.5000  0.7866  0.2134
Ho  0.1741  0.0637  0.5900
Ho  0.8259  0.4100  0.9363
Ho  0.8259  0.9363  0.4100
Ho  0.1741  0.5900  0.0637
Ho  0.0000  0.0000  0.0000
Ho  0.5819  0.7660  0.7660
Ho  0.4181  0.2340  0.2340

Calculated values
E above lowest polymorph (meV/atom): 4
Formation enthalpy at 0 K (eV per atom): 0.1575

=====

Number 1: spin magnetization 0.00 μB per cell. Number 2: spin magnetization 0.61 μB per cell. Number 3: spin magnetization 0.00 μB per cell. Number 4: spin magnetization 0.55 μB per cell. Number 5: spin magnetization 9.01 μB per cell. Number 6: spin magnetization 0.00 μB per cell. Number 7: spin magnetization 0.00 μB per cell. Number 8: spin magnetization 0.00 μB per cell.